PBE InCo2Ir, relaxed; space-group type = Amm2; calculated density = 12.4 Mg/m³; N(E_F) = 4.62 states/eV/cell; E_form = 0.17 eV per atom; E = -25.13 eV per cell
1.0
-3.3598 -1.5577 -1.6730
-0.9222 -0.7481 2.5486
-2.7446 4.0419 1.7485
In Ir Co
1 1 2
Cartesian
-1.7205 1.5882 1.9765
-4.5736 1.8094 2.5649
-0.1736 -0.1404 0.4792
-2.3923 0.1258 -0.2481